First-principles (GGA-PBE) data for a geometry-optimized GdLu2Al structure, as listed in OQMD via LeMat-Bulk.

abc: 4.9734 6.6490 6.6490
angles: 103.05 90.00 90.00
Fractional coordinates of all 8 atoms:
Gd: 0.2500 0.1119 0.8881
Gd: 0.7500 0.8881 0.1119
Lu: 0.2500 0.1757 0.4152
Lu: 0.2500 0.6953 0.4759
Lu: 0.7500 0.4152 0.1757
Lu: 0.7500 0.4759 0.6953
Al: 0.2500 0.6155 0.9635
Al: 0.7500 0.9635 0.6155

Summary:
magnetization	0.010	μB per atom
final energy	-4.5303	eV per atom
energy relative to the lowest polymorph listed for this composition	26	meV per atom

=====

First-principles (GGA-PBE) data for a geometry-optimized GdLu2Al structure, as listed in OQMD via LeMat-Bulk.

abc: 5.2573 6.8092 6.8092
angles: 61.40 90.00 90.00
Fractional coordinates of all 8 atoms:
Gd: 0.0000 0.0000 0.0000
Gd: 0.5000 0.3016 0.3016
Lu: 0.0000 0.4807 0.4807
Lu: 0.5000 0.3335 0.8118
Lu: 0.5000 0.8118 0.3335
Lu: 0.5000 0.8213 0.8213
Al: 0.0000 0.5192 0.9366
Al: 0.0000 0.9366 0.5192

Summary:
magnetization	0.002	μB per atom
final energy	-4.4619	eV per atom
energy relative to the lowest polymorph listed for this composition	95	meV per atom

=====

First-principles (GGA-PBE) data for a geometry-optimized GdMgAlNi structure, as listed in OQMD via LeMat-Bulk.

abc: 5.3024 5.3024 7.4350
angles: 90.00 90.00 132.89
Fractional coordinates of all 8 atoms:
Gd: 0.0609 0.9391 0.5000
Gd: 0.9391 0.0609 0.0000
Mg: 0.3513 0.6487 0.6874
Mg: 0.6487 0.3513 0.1874
Al: 0.3428 0.6572 0.2965
Al: 0.6572 0.3428 0.7965
Ni: 0.2209 0.7791 0.9902
Ni: 0.7791 0.2209 0.4902

Summary:
magnetization	0.000	μB per atom
final energy	-4.3050	eV per atom
energy relative to the lowest polymorph listed for this composition	0	meV per atom

=====

First-principles (GGA-PBE) data for a geometry-optimized GdMgAlNi structure, as listed in OQMD via LeMat-Bulk.

abc: 7.4202 5.3447 5.3447
angles: 46.35 90.00 90.00
Fractional coordinates of all 8 atoms:
Gd: 0.0000 0.0000 0.0000
Gd: 0.5000 0.1230 0.1230
Mg: 0.1995 0.7157 0.7157
Mg: 0.8005 0.7157 0.7157
Al: 0.3094 0.4101 0.4101
Al: 0.6906 0.4101 0.4101
Ni: 0.0000 0.2961 0.2961
Ni: 0.5000 0.8557 0.8557

Summary:
magnetization	0.000	μB per atom
final energy	-4.3013	eV per atom
energy relative to the lowest polymorph listed for this composition	4	meV per atom

=====

First-principles (GGA-PBE) data for a geometry-optimized Gd2Mg3AlNi2 structure, as listed in OQMD via LeMat-Bulk.

abc: 5.3833 5.3833 7.6554
angles: 90.58 90.58 46.14
Fractional coordinates of all 8 atoms:
Gd: 0.0000 0.0000 0.0000
Gd: 0.1206 0.1206 0.5174
Mg: 0.4102 0.4102 0.3191
Mg: 0.7111 0.7111 0.8165
Mg: 0.7151 0.7151 0.2104
Al: 0.4075 0.4075 0.7055
Ni: 0.2913 0.2913 0.9991
Ni: 0.8473 0.8473 0.5296

Summary:
magnetization	0.000	μB per atom
final energy	-3.9358	eV per atom

=====

First-principles (GGA-PBE) data for a geometry-optimized GdMgAlNi structure, as listed in OQMD via LeMat-Bulk.

abc: 5.3722 5.3722 7.4928
angles: 91.26 91.26 45.98
Fractional coordinates of all 8 atoms:
Gd: 0.0607 0.0607 0.2649
Gd: 0.9393 0.9393 0.7351
Mg: 0.3476 0.3476 0.0544
Mg: 0.6524 0.6524 0.9456
Al: 0.3478 0.3478 0.4435
Al: 0.6522 0.6522 0.5565
Ni: 0.2212 0.2212 0.7232
Ni: 0.7788 0.7788 0.2768

Summary:
magnetization	0.000	μB per atom
final energy	-4.3034	eV per atom
energy relative to the lowest polymorph listed for this composition	2	meV per atom

=====

First-principles (GGA-PBE) data for a geometry-optimized Gd3Mg3AlPd2 structure, as listed in OQMD via LeMat-Bulk.

abc: 7.4023 7.4023 4.2955
angles: 90.00 90.00 120.00
Fractional coordinates of all 9 atoms:
Gd: 0.0000 0.5778 0.0000
Gd: 0.4222 0.4222 0.0000
Gd: 0.5778 0.0000 0.0000
Mg: 0.0000 0.2472 0.5000
Mg: 0.2472 0.0000 0.5000
Mg: 0.7528 0.7528 0.5000
Al: 0.0000 0.0000 0.0000
Pd: 0.3333 0.6667 0.5000
Pd: 0.6667 0.3333 0.5000

Summary:
magnetization	0.002	μB per atom
final energy	-4.1484	eV per atom

=====

First-principles (GGA-PBE) data for a geometry-optimized GdMg4AlPt2 structure, as listed in OQMD via LeMat-Bulk.

abc: 8.2401 5.1918 5.1918
angles: 47.76 90.00 90.00
Fractional coordinates of all 8 atoms:
Gd: 0.0000 0.0000 0.0000
Mg: 0.2031 0.2972 0.2972
Mg: 0.3176 0.5980 0.5980
Mg: 0.6824 0.5980 0.5980
Mg: 0.7969 0.2972 0.2972
Al: 0.5000 0.8935 0.8935
Pt: 0.0000 0.7034 0.7034
Pt: 0.5000 0.1809 0.1809

Summary:
magnetization	0.003	μB per atom
final energy	-3.9226	eV per atom